DFT (GGA-PBE) results for a relaxed Mg3HPd crystal.

abc: 4.200 4.200 4.200
angles: 90.00 90.00 90.00
Positions (direct):
Mg 0.000 0.000 0.500
Mg 0.000 0.500 0.000
Mg 0.500 0.000 0.000
H 0.000 0.000 0.000
Pd 0.500 0.500 0.500

Properties
**E above lowest polymorph**: 0.001 eV/atom
**Total magnetic moment**: 0.0 μB/f.u.


DFT (GGA-PBE) results for a relaxed BaY2 crystal.

abc: 3.637 3.637 35.905
angles: 90.00 90.00 90.00
Positions (direct):
Ba 0.000 0.250 0.375
Ba 0.000 0.750 0.625
Ba 0.500 0.250 0.125
Ba 0.500 0.750 0.875
Y 0.000 0.250 0.790
Y 0.000 0.250 0.960
Y 0.000 0.750 0.040
Y 0.000 0.750 0.210
Y 0.500 0.250 0.540
Y 0.500 0.250 0.710
Y 0.500 0.750 0.290
Y 0.500 0.750 0.460

Properties
**E above lowest polymorph**: 0.231 eV/atom
**Total magnetic moment**: 0.8 μB/f.u.


DFT (GGA-PBE) results for a relaxed ErUTc crystal.

abc: 3.430 3.430 10.991
angles: 90.00 90.00 90.00
Positions (direct):
Er 0.000 0.000 0.000
Er 0.500 0.500 0.500
U 0.000 0.000 0.699
U 0.500 0.500 0.199
Tc 0.000 0.000 0.306
Tc 0.500 0.500 0.806

Properties
**E above lowest polymorph**: 0.000 eV/atom
**Total magnetic moment**: 0.4 μB/f.u.


DFT (GGA-PBE) results for a relaxed La2Ag3 crystal.

abc: 9.138 9.138 9.138
angles: 109.47 109.47 109.47
Positions (direct):
La 0.000 0.424 0.500
La 0.000 0.924 0.500
La 0.076 0.076 0.076
La 0.424 0.500 0.000
La 0.500 0.000 0.424
La 0.500 0.000 0.924
La 0.576 0.576 0.576
La 0.924 0.500 0.000
Ag 0.007 0.257 0.750
Ag 0.243 0.250 0.493
Ag 0.250 0.493 0.243
Ag 0.250 0.757 0.507
Ag 0.257 0.750 0.007
Ag 0.493 0.243 0.250
Ag 0.507 0.250 0.757
Ag 0.743 0.993 0.750
Ag 0.750 0.007 0.257
Ag 0.750 0.743 0.993
Ag 0.757 0.507 0.250
Ag 0.993 0.750 0.743

Properties
**E above lowest polymorph**: 0.215 eV/atom
**Total magnetic moment**: 0.0 μB/f.u.


DFT (GGA-PBE) results for a relaxed Mn2MoSe crystal.

abc: 3.089 4.177 4.284
angles: 90.00 90.00 90.00
Positions (direct):
Mn 0.000 0.000 0.000
Mn 0.500 0.000 0.500
Mo 0.000 0.500 0.500
Se 0.500 0.500 0.000

Properties
**Total magnetic moment**: 3.6 μB/f.u.
**Electronic total energy**: -31.711 eV for the cell shown


DFT (GGA-PBE) results for a relaxed TaAl2W crystal.

abc: 5.540 8.580 2.777
angles: 90.00 102.88 90.00
Positions (direct):
Ta 0.000 0.000 0.000
Ta 0.500 0.500 0.000
Al 0.250 0.250 0.500
Al 0.250 0.750 0.500
Al 0.750 0.250 0.500
Al 0.750 0.750 0.500
W 0.000 0.500 0.000
W 0.500 0.000 0.000

Properties
**E above lowest polymorph**: 0.049 eV/atom
**Total magnetic moment**: 0.0 μB/f.u.


DFT (GGA-PBE) results for a relaxed Nd8CoAg2 crystal.

abc: 8.991 8.991 6.278
angles: 103.23 103.23 129.33
Positions (direct):
Nd 0.000 0.000 0.000
Nd 0.127 0.902 0.490
Nd 0.366 0.591 0.123
Nd 0.463 0.463 0.613
Nd 0.551 0.944 0.795
Nd 0.591 0.366 0.123
Nd 0.902 0.127 0.490
Nd 0.944 0.551 0.795
Co 0.742 0.742 0.500
Ag 0.027 0.461 0.299
Ag 0.461 0.027 0.299

Properties
**E above lowest polymorph**: 0.016 eV/atom
**Total magnetic moment**: 0.0 μB/f.u.


DFT (GGA-PBE) results for a relaxed Ac2PuZn9 crystal.

abc: 9.516 9.516 9.516
angles: 34.64 34.64 34.64
Positions (direct):
Ac 0.139 0.139 0.139
Ac 0.861 0.861 0.861
Pu 0.000 0.000 0.000
Zn 0.075 0.579 0.579
Zn 0.335 0.335 0.335
Zn 0.421 0.421 0.925
Zn 0.421 0.925 0.421
Zn 0.500 0.500 0.500
Zn 0.579 0.075 0.579
Zn 0.579 0.579 0.075
Zn 0.665 0.665 0.665
Zn 0.925 0.421 0.421

Properties
**Total magnetic moment**: 5.5 μB/f.u.
**Electronic total energy**: -35.825 eV for the cell shown


DFT (GGA-PBE) results for a relaxed Tm2Ni9Ir crystal.

abc: 8.396 8.396 8.396
angles: 33.64 33.64 33.64
Positions (direct):
Tm 0.133 0.133 0.133
Tm 0.867 0.867 0.867
Ni 0.080 0.583 0.583
Ni 0.333 0.333 0.333
Ni 0.417 0.417 0.920
Ni 0.417 0.920 0.417
Ni 0.500 0.500 0.500
Ni 0.583 0.080 0.583
Ni 0.583 0.583 0.080
Ni 0.667 0.667 0.667
Ni 0.920 0.417 0.417
Ir 0.000 0.000 0.000

Properties
**Total magnetic moment**: 4.2 μB/f.u.
**Electronic total energy**: -71.563 eV for the cell shown


DFT (GGA-PBE) results for a relaxed MnVCo2Au crystal.

abc: 4.105 4.105 4.815
angles: 90.00 90.00 90.00
Positions (direct):
Mn 0.000 0.000 0.000
V 0.500 0.500 0.500
Co 0.000 0.500 0.500
Co 0.500 0.000 0.500
Au 0.500 0.500 0.000

Properties
**Total magnetic moment**: 0.2 μB/f.u.
**Electronic total energy**: -28.502 eV for the cell shown